Version a
VASP calculation (PBEsol) on a geometry-optimized Zr2ScAg structure.

The structure in CIF format:
```
data_Zr2ScAg
_chemical_formula_sum 'Zr2 Sc1 Ag1'
_cell_length_a 3.027
_cell_length_b 5.270
_cell_length_c 5.187
_cell_angle_alpha 90.00
_cell_angle_beta 96.23
_cell_angle_gamma 90.00
_space_group_name_H-M_alt 'P 1 2/m 1'
_space_group_IT_number 10
_space_group_name_Hall '-P 2y'
loop_
_atom_site_label
_atom_site_fract_x
_atom_site_fract_y
_atom_site_fract_z
Zr1 0.211 0.000 0.253
Sc1 0.500 0.500 0.000
Ag1 0.000 0.500 0.500
```

---

Version b
VASP calculation (PBEsol) on a geometry-optimized Zr2ScAg structure.

The structure in CIF format:
```
data_Zr2ScAg
_chemical_formula_sum 'Zr2 Sc1 Ag1'
_cell_length_a 5.019
_cell_length_b 5.019
_cell_length_c 3.228
_cell_angle_alpha 90.00
_cell_angle_beta 90.00
_cell_angle_gamma 90.00
_space_group_name_H-M_alt 'P 4/m m m'
_space_group_IT_number 123
_space_group_name_Hall '-P 4 2'
loop_
_atom_site_label
_atom_site_fract_x
_atom_site_fract_y
_atom_site_fract_z
Zr1 0.000 0.500 0.000
Sc1 0.000 0.000 0.500
Ag1 0.500 0.500 0.500
```

---

Version c
VASP calculation (PBEsol) on a geometry-optimized Zr2ScAg structure.

The structure in CIF format:
```
data_Zr2ScAg
_chemical_formula_sum 'Zr2 Sc1 Ag1'
_cell_length_a 3.108
_cell_length_b 3.108
_cell_length_c 8.574
_cell_angle_alpha 90.00
_cell_angle_beta 90.00
_cell_angle_gamma 90.00
_space_group_name_H-M_alt 'P 4/m m m'
_space_group_IT_number 123
_space_group_name_Hall '-P 4 2'
loop_
_atom_site_label
_atom_site_fract_x
_atom_site_fract_y
_atom_site_fract_z
Zr1 0.000 0.000 0.237
Sc1 0.500 0.500 0.500
Ag1 0.500 0.500 0.000
```

---

From most stable to least stable, the computed energies give version c, version a, version b.

---

Version a
VASP calculation (PBEsol) on a geometry-optimized Zr2ScAg structure.

The structure in CIF format:
```
data_Zr2ScAg
_chemical_formula_sum 'Zr4 Sc2 Ag2'
_cell_length_a 10.698
_cell_length_b 3.140
_cell_length_c 5.405
_cell_angle_alpha 90.00
_cell_angle_beta 114.20
_cell_angle_gamma 90.00
_space_group_name_H-M_alt 'C 1 m 1'
_space_group_IT_number 8
_space_group_name_Hall 'C -2y'
loop_
_atom_site_label
_atom_site_fract_x
_atom_site_fract_y
_atom_site_fract_z
Zr1 0.000 0.000 0.000
Zr2 0.237 0.000 0.855
Sc1 0.277 0.500 0.381
Ag1 0.010 0.500 0.469
```

---

Version b
VASP calculation (PBEsol) on a geometry-optimized Zr2ScAg structure.

The structure in CIF format:
```
data_Zr2ScAg
_chemical_formula_sum 'Zr2 Sc1 Ag1'
_cell_length_a 3.174
_cell_length_b 3.174
_cell_length_c 8.217
_cell_angle_alpha 90.00
_cell_angle_beta 90.00
_cell_angle_gamma 90.00
_space_group_name_H-M_alt 'P 4 m m'
_space_group_IT_number 99
_space_group_name_Hall 'P 4 -2'
loop_
_atom_site_label
_atom_site_fract_x
_atom_site_fract_y
_atom_site_fract_z
Zr1 0.000 0.000 0.000
Zr2 0.500 0.500 0.263
Sc1 0.500 0.500 0.733
Ag1 0.000 0.000 0.505
```

---

From most stable to least stable, the computed energies give version b, version a.

---

Version a
VASP calculation (PBEsol) on a geometry-optimized ZrScAg2 structure.

The structure in CIF format:
```
data_ZrScAg2
_chemical_formula_sum 'Zr3 Sc3 Ag6'
_cell_length_a 3.0373
_cell_length_b 3.0373
_cell_length_c 28.9466
_cell_angle_alpha 90.00
_cell_angle_beta 90.00
_cell_angle_gamma 120.00
_space_group_name_H-M_alt 'R -3 m'
_space_group_IT_number 166
_space_group_name_Hall '-R 3 2"'
loop_
_atom_site_label
_atom_site_fract_x
_atom_site_fract_y
_atom_site_fract_z
Zr1 0.0000 0.0000 0.0000
Sc1 0.0000 0.0000 0.5000
Ag1 0.0000 0.0000 0.2480
```

---

Version b
VASP calculation (PBEsol) on a geometry-optimized ZrScAg2 structure.

The structure in CIF format:
```
data_ZrScAg2
_chemical_formula_sum 'Zr1 Sc1 Ag2'
_cell_length_a 3.430
_cell_length_b 3.430
_cell_length_c 6.525
_cell_angle_alpha 90.00
_cell_angle_beta 90.00
_cell_angle_gamma 90.00
_space_group_name_H-M_alt 'P 4 m m'
_space_group_IT_number 99
_space_group_name_Hall 'P 4 -2'
loop_
_atom_site_label
_atom_site_fract_x
_atom_site_fract_y
_atom_site_fract_z
Zr1 0.000 0.000 0.000
Sc1 0.500 0.500 0.708
Ag1 0.000 0.000 0.473
Ag2 0.500 0.500 0.244
```

---

From most stable to least stable, the computed energies give version b, version a.